A plane-wave DFT calculation with PBE was carried out for crystalline Zn2InGaO5 at its relaxed geometry.

abc: 3.3070 3.3070 22.5394
angles: 90.00 90.00 120.00
Last column: nearest neighbours and their distance in Å.
Space group P6_3/mmc (No. 194)
Symmetry-distinct sites (fractional):
Zn  0.3333  0.6667  0.1353 x4  4 O 1.96-2.00
In  0.0000  0.0000  0.0000 x2  6 O 2.20
Ga  0.0000  0.0000  0.2500 x2  5 O 1.91-1.98
O  0.0000  0.0000  0.1622 x4  1 Ga 1.98, 3 Zn 2.00
O  0.3333  0.6667  0.0482 x4  1 Zn 1.96, 3 In 2.20
O  0.3333  0.6667  0.2500 x2  3 Ga 1.91

- energy above the most stable polymorph in this dataset (eV per atom) = 0.000
- total DFT energy (no corrections) (eV/cell) = -94.8

A plane-wave DFT calculation with PBE was carried out for crystalline Zn4InGaO7 at its relaxed geometry.

abc: 3.2947 3.2947 32.9898
angles: 90.00 90.00 120.00
Last column: nearest neighbours and their distance in Å.
Space group P6_3/mmc (No. 194)
Symmetry-distinct sites (fractional):
Zn  0.0000  0.0000  0.1712 x4  4 O 1.98-2.00
Zn  0.3333  0.6667  0.0926 x4  4 O 1.96-2.00
In  0.0000  0.0000  0.0000 x2  6 O 2.19
Ga  0.3333  0.6667  0.2500 x2  5 O 1.90-1.98
O  0.0000  0.0000  0.1112 x4  4 Zn 1.98-2.00
O  0.0000  0.0000  0.2500 x2  3 Ga 1.90
O  0.3333  0.6667  0.0331 x4  1 Zn 1.96, 3 In 2.19
O  0.3333  0.6667  0.1899 x4  1 Ga 1.98, 3 Zn 2.00

- energy above the most stable polymorph in this dataset (eV per atom) = 0.000
- total DFT energy (no corrections) (eV/cell) = -131.1